# GGA+U VCrS2F, optimized geometry
data_VCrS2F
_chemical_formula_sum 'V1 Cr1 S2 F1'
_cell_length_a 4.7808
_cell_length_b 3.8372
_cell_length_c 4.7808
_cell_angle_alpha 90.00
_cell_angle_beta 90.00
_cell_angle_gamma 90.00
_symmetry_space_group_name_H-M 'P 1'
_symmetry_Int_Tables_number 1
_symmetry_space_group_name_Hall 'P 1'
loop_
_atom_site_label
_atom_site_type_symbol
_atom_site_fract_x
_atom_site_fract_y
_atom_site_fract_z
_atom_site_occupancy
F1 F 0.0000 0.5000 0.0000 1
S1 S 0.5000 0.0000 0.0000 1
V1 V 0.0000 0.0000 0.0000 1
S2 S 0.0000 0.0000 0.5000 1
Cr1 Cr 0.5000 0.5000 0.5000 1
# Uncorrected energy, eV/atom: -5.809
# Space-group type: No. 123
# Volume, Å³ per atom: 17.540